*one*
An optimized crystal structure of Ac3Ge2Pd9. Source: Alexandria via LeMat-Bulk, functional PBE-GGA.

Calculated values
SG: P6_3/mmc

Cell: 6.436 6.436 16.111 Å, 90.00 90.00 120.00°
Fractional positions:
Ac: 0.000 0.000 0.250
Ac: 0.000 0.000 0.750
Ac: 0.333 0.667 0.076
Ac: 0.333 0.667 0.424
Ac: 0.667 0.333 0.576
Ac: 0.667 0.333 0.924
Ge: 0.333 0.667 0.655
Ge: 0.333 0.667 0.845
Ge: 0.667 0.333 0.155
Ge: 0.667 0.333 0.345
Pd: 0.038 0.519 0.250
Pd: 0.145 0.290 0.574
Pd: 0.145 0.290 0.926
Pd: 0.145 0.855 0.574
Pd: 0.145 0.855 0.926
Pd: 0.290 0.145 0.074
Pd: 0.290 0.145 0.426
Pd: 0.481 0.519 0.250
Pd: 0.481 0.962 0.250
Pd: 0.519 0.038 0.750
Pd: 0.519 0.481 0.750
Pd: 0.710 0.855 0.574
Pd: 0.710 0.855 0.926
Pd: 0.855 0.145 0.074
Pd: 0.855 0.145 0.426
Pd: 0.855 0.710 0.074
Pd: 0.855 0.710 0.426
Pd: 0.962 0.481 0.750

*two*
An optimized crystal structure of Ac3Ge2Pd9. Source: Alexandria via LeMat-Bulk, functional PBE-GGA.

Calculated values
SG: Immm

Cell: 8.622 8.622 8.622 Å, 151.81 101.86 85.01°
Fractional positions:
Ac: 0.000 0.000 0.000
Ac: 0.318 0.318 0.000
Ac: 0.682 0.682 0.000
Ge: 0.259 0.500 0.759
Ge: 0.741 0.500 0.241
Pd: 0.041 0.670 0.371
Pd: 0.169 0.885 0.284
Pd: 0.299 0.670 0.629
Pd: 0.399 0.115 0.284
Pd: 0.500 0.000 0.500
Pd: 0.601 0.885 0.716
Pd: 0.701 0.330 0.371
Pd: 0.831 0.115 0.716
Pd: 0.959 0.330 0.629

The structure with the most favorable energy is *one*; the runner-up is 6.0 kJ/mol of atoms above it.

*one*
An optimized crystal structure of AcGe2Pd3. Source: Alexandria via LeMat-Bulk, functional PBE-GGA.

Calculated values
SG: C2/m

Cell: 8.436 8.436 7.621 Å, 114.43 114.43 29.14°
Fractional positions:
Ac: 0.155 0.155 0.075
Ac: 0.845 0.845 0.925
Ge: 0.186 0.186 0.669
Ge: 0.480 0.480 0.819
Ge: 0.520 0.520 0.181
Ge: 0.814 0.814 0.331
Pd: 0.041 0.041 0.366
Pd: 0.316 0.316 0.563
Pd: 0.406 0.406 0.320
Pd: 0.594 0.594 0.680
Pd: 0.684 0.684 0.437
Pd: 0.959 0.959 0.634

*two*
An optimized crystal structure of AcGe2Pd3. Source: Alexandria via LeMat-Bulk, functional PBE-GGA.

Calculated values
SG: C2/m

Cell: 8.809 8.809 10.302 Å, 108.03 108.03 27.79°
Fractional positions:
Ac: 0.000 0.000 0.000
Ac: 0.154 0.154 0.697
Ac: 0.846 0.846 0.303
Ge: 0.200 0.200 0.129
Ge: 0.363 0.363 0.553
Ge: 0.469 0.469 0.229
Ge: 0.531 0.531 0.771
Ge: 0.637 0.637 0.447
Ge: 0.800 0.800 0.871
Pd: 0.046 0.046 0.337
Pd: 0.219 0.219 0.393
Pd: 0.322 0.322 0.037
Pd: 0.371 0.371 0.799
Pd: 0.500 0.500 0.500
Pd: 0.629 0.629 0.201
Pd: 0.678 0.678 0.963
Pd: 0.781 0.781 0.607
Pd: 0.954 0.954 0.663

The structure with the most favorable energy is *two*; the runner-up is 4.9 kJ/mol of atoms above it.

*one*
An optimized crystal structure of Ac3Ge2Pd. Source: Alexandria via LeMat-Bulk, functional PBE-GGA.

Calculated values
SG: C2/c

Cell: 7.912 7.912 9.061 Å, 106.62 106.62 47.92°
Fractional positions:
Ac: 0.003 0.997 0.750
Ac: 0.338 0.338 0.419
Ac: 0.338 0.338 0.919
Ac: 0.662 0.662 0.081
Ac: 0.662 0.662 0.581
Ac: 0.997 0.003 0.250
Ge: 0.168 0.168 0.083
Ge: 0.168 0.168 0.583
Ge: 0.832 0.832 0.417
Ge: 0.832 0.832 0.917
Pd: 0.497 0.503 0.250
Pd: 0.503 0.497 0.750

*two*
An optimized crystal structure of Ac3Ge2Pd. Source: Alexandria via LeMat-Bulk, functional PBE-GGA.

Calculated values
SG: Pnma

Cell: 12.542 4.607 12.589 Å, 90.00 90.00 90.00°
Fractional positions:
Ac: 0.058 0.250 0.129
Ac: 0.119 0.750 0.555
Ac: 0.215 0.250 0.808
Ac: 0.285 0.750 0.308
Ac: 0.381 0.250 0.055
Ac: 0.442 0.750 0.629
Ac: 0.558 0.250 0.371
Ac: 0.619 0.750 0.945
Ac: 0.715 0.250 0.692
Ac: 0.785 0.750 0.192
Ac: 0.881 0.250 0.445
Ac: 0.942 0.750 0.871
Ge: 0.020 0.750 0.313
Ge: 0.192 0.750 0.996
Ge: 0.308 0.250 0.496
Ge: 0.480 0.250 0.813
Ge: 0.520 0.750 0.187
Ge: 0.692 0.750 0.504
Ge: 0.808 0.250 0.004
Ge: 0.980 0.250 0.687
Pd: 0.126 0.250 0.371
Pd: 0.374 0.750 0.871
Pd: 0.626 0.250 0.129
Pd: 0.874 0.750 0.629

The structure with the most favorable energy is *two*; the runner-up is 16.0 kJ/mol of atoms above it.

*one*
An optimized crystal structure of AcSmGePd. Source: Alexandria via LeMat-Bulk, functional PBE-GGA.

Calculated values
SG: P4/nmm

Cell: 4.850 4.850 10.472 Å, 90.00 90.00 90.00°
Fractional positions:
Ac: 0.250 0.250 0.165
Ac: 0.750 0.750 0.835
Sm: 0.250 0.750 0.500
Sm: 0.750 0.250 0.500
Ge: 0.250 0.250 0.873
Ge: 0.750 0.750 0.127
Pd: 0.250 0.250 0.646
Pd: 0.750 0.750 0.354

*two*
An optimized crystal structure of AcSmGePd. Source: Alexandria via LeMat-Bulk, functional PBE-GGA.

Calculated values
SG: F-43m

Cell: 5.298 5.298 5.298 Å, 60.00 60.00 60.00°
Fractional positions:
Ac: 0.000 0.000 0.000
Sm: 0.500 0.500 0.500
Ge: 0.750 0.750 0.750
Pd: 0.250 0.250 0.250

The structure with the most favorable energy is *two*; the runner-up is 13.4 kJ/mol of atoms above it.

*one*
An optimized crystal structure of Ac2PmGe2. Source: Alexandria via LeMat-Bulk, functional PBE-GGA.

Calculated values
SG: Immm

Cell: 6.510 6.510 6.510 Å, 139.00 117.93 77.11°
Fractional positions:
Ac: 0.202 0.202 0.000
Ac: 0.798 0.798 0.000
Pm: 0.500 0.000 0.500
Ge: 0.203 0.500 0.703
Ge: 0.797 0.500 0.297

*two*
An optimized crystal structure of Ac2PmGe2. Source: Alexandria via LeMat-Bulk, functional PBE-GGA.

Calculated values
SG: P4/mbm

Cell: 8.084 8.084 4.716 Å, 90.00 90.00 90.00°
Fractional positions:
Ac: 0.176 0.324 0.000
Ac: 0.324 0.824 0.000
Ac: 0.676 0.176 0.000
Ac: 0.824 0.676 0.000
Pm: 0.000 0.000 0.500
Pm: 0.500 0.500 0.500
Ge: 0.119 0.619 0.500
Ge: 0.381 0.119 0.500
Ge: 0.619 0.881 0.500
Ge: 0.881 0.381 0.500

The structure with the most favorable energy is *two*; the runner-up is 1.8 kJ/mol of atoms above it.

*one*
An optimized crystal structure of Ac2PmGe. Source: Alexandria via LeMat-Bulk, functional PBE-GGA.

Calculated values
SG: Fm-3m

Cell: 5.759 5.759 5.759 Å, 60.00 60.00 60.00°
Fractional positions:
Ac: 0.250 0.250 0.250
Ac: 0.750 0.750 0.750
Pm: 0.000 0.000 0.000
Ge: 0.500 0.500 0.500

*two*
An optimized crystal structure of Ac2PmGe. Source: Alexandria via LeMat-Bulk, functional PBE-GGA.

Calculated values
SG: Cm

Cell: 6.345 6.345 4.172 Å, 105.85 105.85 105.96°
Fractional positions:
Ac: 0.190 0.810 0.000
Ac: 0.810 0.190 0.000
Pm: 0.551 0.551 0.466
Ge: 0.253 0.253 0.723

*three*
An optimized crystal structure of Ac2PmGe. Source: Alexandria via LeMat-Bulk, functional PBE-GGA.

Calculated values
SG: P4/mmm

Cell: 5.142 5.142 4.910 Å, 90.00 90.00 90.00°
Fractional positions:
Ac: 0.000 0.500 0.000
Ac: 0.500 0.000 0.000
Pm: 0.000 0.000 0.500
Ge: 0.500 0.500 0.500

The structure with the most favorable energy is *two*; the runner-up is 7.2 kJ/mol of atoms above it.

*one*
An optimized crystal structure of Ac2PmGe4. Source: Alexandria via LeMat-Bulk, functional PBE-GGA.

Calculated values
SG: I4/mmm

Cell: 8.913 8.913 8.913 Å, 145.08 145.08 50.22°
Fractional positions:
Ac: 0.131 0.131 0.000
Ac: 0.869 0.869 0.000
Pm: 0.500 0.500 0.000
Ge: 0.000 0.500 0.500
Ge: 0.325 0.325 0.000
Ge: 0.500 0.000 0.500
Ge: 0.675 0.675 0.000

*two*
An optimized crystal structure of Ac2PmGe4. Source: Alexandria via LeMat-Bulk, functional PBE-GGA.

Calculated values
SG: Immm

Cell: 10.074 10.074 10.074 Å, 154.88 154.11 36.38°
Fractional positions:
Ac: 0.185 0.185 0.000
Ac: 0.815 0.815 0.000
Pm: 0.500 0.000 0.500
Ge: 0.064 0.564 0.500
Ge: 0.365 0.365 0.000
Ge: 0.635 0.635 0.000
Ge: 0.936 0.436 0.500

The structure with the most favorable energy is *two*; the runner-up is 39.2 kJ/mol of atoms above it.

*one*
An optimized crystal structure of AcPmGe2. Source: Alexandria via LeMat-Bulk, functional PBE-GGA.

Calculated values
SG: R-3m

Cell: 6.554 6.554 6.554 Å, 43.10 43.10 43.10°
Fractional positions:
Ac: 0.000 0.000 0.000
Pm: 0.500 0.500 0.500
Ge: 0.236 0.236 0.236
Ge: 0.764 0.764 0.764

*two*
An optimized crystal structure of AcPmGe2. Source: Alexandria via LeMat-Bulk, functional PBE-GGA.

Calculated values
SG: Fm-3m

Cell: 5.368 5.368 5.368 Å, 60.00 60.00 60.00°
Fractional positions:
Ac: 0.000 0.000 0.000
Pm: 0.500 0.500 0.500
Ge: 0.250 0.250 0.250
Ge: 0.750 0.750 0.750

*three*
An optimized crystal structure of AcPmGe2. Source: Alexandria via LeMat-Bulk, functional PBE-GGA.

Calculated values
SG: Amm2

Cell: 4.173 6.204 6.204 Å, 43.61 90.00 90.00°
Fractional positions:
Ac: 0.000 0.000 0.000
Pm: 0.500 0.276 0.276
Ge: 0.000 0.724 0.724
Ge: 0.500 0.570 0.570

The structure with the most favorable energy is *three*; the runner-up is 13.4 kJ/mol of atoms above it.

*one*
An optimized crystal structure of AcPmGe2. Source: Alexandria via LeMat-Bulk, functional PBE-GGA.

Calculated values
SG: P4/mmm

Cell: 3.984 3.984 6.736 Å, 90.00 90.00 90.00°
Fractional positions:
Ac: 0.000 0.000 0.000
Pm: 0.000 0.000 0.500
Ge: 0.500 0.500 0.298
Ge: 0.500 0.500 0.702

*two*
An optimized crystal structure of AcPmGe2. Source: Alexandria via LeMat-Bulk, functional PBE-GGA.

Calculated values
SG: Pmc2_1

Cell: 4.203 6.200 8.478 Å, 90.00 90.00 90.00°
Fractional positions:
Ac: 0.000 0.127 0.000
Ac: 0.000 0.873 0.500
Pm: 0.500 0.371 0.363
Pm: 0.500 0.629 0.863
Ge: 0.000 0.397 0.641
Ge: 0.000 0.603 0.141
Ge: 0.500 0.137 0.714
Ge: 0.500 0.863 0.214

The structure with the most favorable energy is *two*; the runner-up is 11.1 kJ/mol of atoms above it.

*one*
An optimized crystal structure of AcPm3Ge. Source: Alexandria via LeMat-Bulk, functional PBE-GGA.

Calculated values
SG: P6_3/mmc

Cell: 5.602 5.602 11.867 Å, 90.00 90.00 120.00°
Fractional positions:
Ac: 0.333 0.667 0.250
Ac: 0.667 0.333 0.750
Pm: 0.000 0.000 0.250
Pm: 0.000 0.000 0.750
Pm: 0.333 0.667 0.584
Pm: 0.333 0.667 0.916
Pm: 0.667 0.333 0.084
Pm: 0.667 0.333 0.416
Ge: 0.000 0.000 0.000
Ge: 0.000 0.000 0.500

*two*
An optimized crystal structure of AcPm3Ge. Source: Alexandria via LeMat-Bulk, functional PBE-GGA.

Calculated values
SG: Pm-3m

Cell: 5.726 5.726 5.726 Å, 90.00 90.00 90.00°
Fractional positions:
Ac: 0.000 0.000 0.000
Pm: 0.000 0.500 0.500
Pm: 0.500 0.000 0.500
Pm: 0.500 0.500 0.000
Ge: 0.500 0.500 0.500

The structure with the most favorable energy is *one*; the runner-up is 3.2 kJ/mol of atoms above it.